4
Lattice="4.609 0.000 0.000 2.304 3.991 0.000 2.304 1.330 7.671" Properties=species:S:1:pos:R:3 comment="Ac2AuBr PBE-GGA relaxed" de_polymorph_mev_per_atom=0 raw_formation_energy_ev_per_atom=-1.04 dft_energy_ev_per_atom=-4.33 m_tot_mub_per_atom=0.0000 volume_a3_per_atom=35.28 pbc="T T T"
Ac 2.304 1.330 1.700
Ac 6.913 3.991 5.972
Au 0.000 0.000 0.000
Br 4.609 2.661 3.836

---

18
Lattice="7.851 0.000 0.000 -3.925 6.799 0.000 0.000 0.000 5.157" Properties=species:S:1:pos:R:3 comment="Li5Mn4 PBE-GGA relaxed" de_polymorph_mev_per_atom=10 e_form_ev_per_atom=0.367 dft_energy_ev_per_atom=-4.77 m_tot_mub_per_atom=0.9989 volume_a3_per_atom=15.29 pbc="T T T"
Mn 0.000 0.000 0.000
Mn 0.000 0.000 2.578
Mn -1.026 1.778 1.289
Mn 2.899 5.021 1.289
Mn 2.053 0.000 1.289
Mn -2.899 5.021 3.868
Mn 1.026 1.778 3.868
Mn 5.798 0.000 3.868
Li -2.441 4.227 1.289
Li 1.485 2.572 1.289
Li 4.881 0.000 1.289
Li -1.485 2.572 3.868
Li 2.441 4.227 3.868
Li 2.970 0.000 3.868
Li 3.925 2.266 0.000
Li 0.000 4.533 2.578
Li 0.000 4.533 0.000
Li 3.925 2.266 2.578

---

4
Lattice="-3.244 -0.489 0.979 1.457 -3.075 -0.375 3.454 0.226 11.559" Properties=species:S:1:pos:R:3 comment="K2YNi PBE-GGA relaxed" de_polymorph_mev_per_atom=633 e_form_ev_per_atom=0.795 dft_energy_ev_per_atom=-2.82 m_tot_mub_per_atom=0.0893 volume_a3_per_atom=33.65 pbc="T T T"
K 0.186 0.012 0.623
K 1.541 0.101 5.156
Ni -0.029 -1.725 3.192
Y 1.698 -1.612 8.971

---

12
Lattice="-3.277 0.519 0.765 -1.717 -2.263 -5.820 -1.052 -16.620 6.773" Properties=species:S:1:pos:R:3 comment="LaY2HoTm2 PBE-GGA relaxed" e_form_ev_per_atom=0.271 dft_energy_ev_per_atom=-4.96 m_tot_mub_per_atom=0.0000 volume_a3_per_atom=33.04 pbc="T T T"
La 0.000 0.000 0.000
La -3.023 -9.182 0.859
Y -3.189 -6.496 -1.673
Y -2.858 -11.868 3.390
Y -2.203 -15.232 0.902
Y -0.566 -3.651 0.051
Ho -2.497 -0.872 -2.528
Ho -0.526 -8.310 3.386
Tm -2.372 -6.100 1.556
Tm -1.373 -4.034 -3.145
Tm -3.674 -12.264 0.161
Tm -1.396 -14.849 4.098

---

8
Lattice="-0.481 3.747 1.143 -3.276 0.193 -2.009 -5.227 -3.177 8.217" Properties=species:S:1:pos:R:3 comment="Er4BeCo3 PBE-GGA relaxed" e_form_ev_per_atom=-0.200 dft_energy_ev_per_atom=-5.61 m_tot_mub_per_atom=0.0910 volume_a3_per_atom=19.44 pbc="T T T"
Be -2.155 1.802 0.001
Co -4.574 -1.688 3.610
Co -2.290 -1.392 3.599
Co -5.196 -1.139 8.361
Er -3.763 0.824 2.529
Er -6.108 -2.620 6.021
Er -0.741 -0.450 1.164
Er -3.597 -0.167 5.847

---

5
Lattice="4.989 0.000 0.000 0.000 4.989 0.000 0.000 0.000 4.989" Properties=species:S:1:pos:R:3 comment="ScHCl3 PBE-GGA relaxed" de_polymorph_mev_per_atom=34 dft_energy_ev_per_atom=-4.19 m_tot_mub_per_atom=0.2000 volume_a3_per_atom=24.84 pbc="T T T"
Sc 0.000 0.000 0.000
H 2.495 2.495 2.495
Cl 0.000 2.495 0.000
Cl 0.000 0.000 2.495
Cl 2.495 0.000 0.000